A plane-wave DFT calculation with PBE was carried out for crystalline NdRh3Pb at its relaxed geometry.

Its total energy is -6.41 eV/atom. As for the density of states at the Fermi level: 0.817 states/eV per atom. The calculation puts the formation energy at -0.30 eV/atom.

The structure belongs to space group Imma (No. 74); the cell edges are 5.6311, 7.6647 and 9.2850 Å and the angles 90.00°, 90.00° and 90.00°. The distinct sites, in fractional coordinates, are Nd at (0.0000, 0.2500, 0.0158), Rh at (0.0000, 0.2500, 0.7156), Rh at (0.2500, 0.0531, 0.2500) and Pb at (0.0000, 0.0000, 0.5000).